1.
Rb2FeGe | PBE | optimized geometry

Results
- space-group type = Amm2 (38)

Lattice parameters (Å, degrees): 12.0660 3.3491 3.3491 60.40 90.00 90.00
Last column: nearest neighbours and their distance in Å.
Fractional coordinates of all 4 atoms:
1 Rb 0.7415 0.0010 0.0010  1 Fe 3.12, 6 Rb 3.35-3.37
2 Rb 0.2585 0.0010 0.0010  1 Fe 3.12, 6 Rb 3.35-3.37
3 Fe 0.0000 0.9998 0.9998  2 Rb 3.12, 6 Fe 3.35-3.37
4 Ge 0.5000 0.6649 0.6649  6 Ge 3.35-3.37, 6 Rb 3.50

2.
TaFeHgGe | PBE | optimized geometry

Results
- energy relative to the lowest polymorph listed for this composition (eV per atom) = 0.141
- space-group type = F-43m (216)

Lattice parameters (Å, degrees): 4.5802 4.5802 4.5802 60.00 60.00 60.00
Last column: nearest neighbours and their distance in Å.
Fractional coordinates of all 4 atoms:
1 Ge 0.0000 0.0000 0.0000  4 Hg 2.80, 4 Fe 2.80
2 Ta 0.5000 0.5000 0.5000  4 Hg 2.80, 4 Fe 2.80
3 Fe 0.7500 0.7500 0.7500  4 Ge 2.80, 4 Ta 2.80
4 Hg 0.2500 0.2500 0.2500  4 Ge 2.80, 4 Ta 2.80

3.
K4Zr6CBr18 | PBE | optimized geometry

Results
- space-group type = P-1 (2)

Lattice parameters (Å, degrees): 10.4289 10.5648 10.6666 118.50 100.18 103.76
Last column: nearest neighbours and their distance in Å.
Fractional coordinates of all 29 atoms:
1 Br 0.8172 0.6261 0.9013  2 Zr 2.69-2.70
2 Br 0.1665 0.3791 0.4981  1 Zr 2.89
3 Br 0.5088 0.9119 0.1978  2 Zr 2.70-2.71
4 Br 0.8227 0.0212 0.0998  1 Zr 2.88
5 Br 0.1773 0.9788 0.9002  1 Zr 2.88
6 Br 0.2048 0.7784 0.2909  1 Zr 2.83
7 Br 0.4958 0.7057 0.7901  2 Zr 2.70-2.71
8 Br 0.4912 0.0881 0.8022  2 Zr 2.70-2.71
9 Br 0.1698 0.1667 0.6883  2 Zr 2.70
10 Br 0.8302 0.8333 0.3117  2 Zr 2.70
11 Br 0.8216 0.4211 0.1093  2 Zr 2.68-2.69
12 Br 0.8335 0.6209 0.5019  1 Zr 2.89
13 Br 0.4841 0.2944 0.5895  2 Zr 2.70-2.71
14 Br 0.5159 0.7056 0.4105  2 Zr 2.70-2.71
15 Br 0.7952 0.2216 0.7091  1 Zr 2.83
16 Br 0.1828 0.3739 0.0987  2 Zr 2.69-2.70
17 Br 0.5042 0.2943 0.2099  2 Zr 2.70-2.71
18 Br 0.1784 0.5789 0.8907  2 Zr 2.68-2.69
19 Zr 0.6343 0.3749 0.8688  1 C 2.34
20 Zr 0.6422 0.7333 0.0437  1 C 2.33
21 Zr 0.3657 0.6251 0.1312  1 C 2.34
22 Zr 0.3532 0.4459 0.7751  1 C 2.32
23 Zr 0.6468 0.5541 0.2249  1 C 2.32
24 Zr 0.3578 0.2667 0.9563  1 C 2.33
25 K 0.1826 0.7242 0.5630  4 Br 3.25-3.39
26 K 0.1502 0.0366 0.2262  4 Br 3.26-3.38
27 K 0.8174 0.2758 0.4370  4 Br 3.25-3.39
28 K 0.8498 0.9634 0.7738  4 Br 3.26-3.38
29 C 0.5000 0.5000 0.0000  6 Zr 2.32-2.34

4.
Rb2PrErS4 | PBE | optimized geometry

Results
- space-group type = P-3m1 (164)

Lattice parameters (Å, degrees): 4.1365 4.1365 15.4013 90.00 90.00 120.00
Last column: nearest neighbours and their distance in Å.
Fractional coordinates of all 8 atoms:
1 S 0.3333 0.6667 0.3971  3 Pr 2.87
2 S 0.3333 0.6667 0.0925  3 Er 2.78
3 S 0.6667 0.3333 0.6029  3 Pr 2.87
4 S 0.6667 0.3333 0.9075  3 Er 2.78
5 Er 0.0000 0.0000 0.0000  6 S 2.78
6 Rb 0.6667 0.3333 0.2449  6 S 3.35
7 Rb 0.3333 0.6667 0.7551  6 S 3.35
8 Pr 0.0000 0.0000 0.5000  6 S 2.87

5.
YHoTl | PBE | optimized geometry

Results
- energy relative to the lowest polymorph listed for this composition (eV per atom) = 0.225
- space-group type = F-43m (216)

Lattice parameters (Å, degrees): 5.1535 5.1535 5.1535 60.00 60.00 60.00
Last column: nearest neighbours and their distance in Å.
Fractional coordinates of all 3 atoms:
1 Ho 0.2500 0.2500 0.2500  4 Tl 3.16
2 Y 0.7500 0.7500 0.7500  4 Tl 3.16
3 Tl 0.0000 0.0000 0.0000  4 Ho 3.16, 4 Y 3.16

6.
ThPaFe | PBE | optimized geometry

Results
- energy relative to the lowest polymorph listed for this composition (eV per atom) = 0.000
- space-group type = F-43m (216)
- ΔH_f (0 K) (eV/atom) = 0.25

Lattice parameters (Å, degrees): 4.6487 4.6487 4.6487 60.00 60.00 60.00
Last column: nearest neighbours and their distance in Å.
Fractional coordinates of all 3 atoms:
1 Th 0.7500 0.7500 0.7500  4 Fe 2.85
2 Fe 0.0000 0.0000 0.0000  4 Th 2.85, 4 Pa 2.85
3 Pa 0.2500 0.2500 0.2500  4 Fe 2.85

7.
Sm3Si2Cl5O6 | PBE | optimized geometry

Results
- space-group type = C2/m (12)

Lattice parameters (Å, degrees): 7.5004 7.5004 11.8523 99.39 80.61 91.01
Last column: nearest neighbours and their distance in Å.
Fractional coordinates of all 32 atoms:
1 Sm 0.0828 0.4140 0.6667  2 O 2.27-2.28
2 Sm 0.4140 0.0828 0.3333  2 O 2.27-2.28
3 Sm 0.9172 0.5860 0.3333  2 O 2.27-2.28
4 Sm 0.5000 0.0000 0.0000  4 O 2.40
5 Sm 0.0000 0.5000 0.0000  4 O 2.40
6 Sm 0.5860 0.9172 0.6667  2 O 2.27-2.28
7 Si 0.8906 0.8179 0.8564  4 O 1.62-1.66
8 Si 0.1094 0.1821 0.1436  4 O 1.62-1.66
9 Si 0.8179 0.8906 0.1436  4 O 1.62-1.66
10 Si 0.1821 0.1094 0.8564  4 O 1.62-1.66
11 O 0.9526 0.0474 0.1910  2 Si 1.63
12 O 0.3914 0.0430 0.8268  1 Si 1.62
13 O 0.8545 0.8545 0.0000  2 Si 1.66
14 O 0.0474 0.9526 0.8090  2 Si 1.63
15 O 0.6960 0.8677 0.8268  1 Si 1.62
16 O 0.1323 0.3040 0.8268  1 Si 1.62
17 O 0.6086 0.9570 0.1732  1 Si 1.62
18 O 0.8677 0.6960 0.1732  1 Si 1.62
19 O 0.3040 0.1323 0.1732  1 Si 1.62
20 O 0.1455 0.1455 0.0000  2 Si 1.66
21 O 0.0430 0.3914 0.1732  1 Si 1.62
22 O 0.9570 0.6086 0.8268  1 Si 1.62
23 Cl 0.8941 0.6817 0.5794  3 Sm 2.86-2.89, 2 O 3.17-3.18
24 Cl 0.1059 0.3183 0.4206  3 Sm 2.86-2.89, 2 O 3.17-3.18
25 Cl 0.3852 0.6148 0.6395  2 Sm 2.70
26 Cl 0.6817 0.8941 0.4206  3 Sm 2.86-2.89, 2 O 3.17-3.18
27 Cl 0.3196 0.6804 0.9965  2 Sm 2.73
28 Cl 0.6148 0.3852 0.3605  2 Sm 2.70
29 Cl 0.2328 0.7672 0.3331  2 Sm 2.71
30 Cl 0.3183 0.1059 0.5794  3 Sm 2.86-2.89, 2 O 3.17-3.18
31 Cl 0.7672 0.2328 0.6669  2 Sm 2.71
32 Cl 0.6804 0.3196 0.0035  2 Sm 2.73

8.
TbLu2 | PBE | optimized geometry

Results
- energy relative to the lowest polymorph listed for this composition (eV per atom) = 2.222
- space-group type = Fd-3m (227)
- ΔH_f (0 K) (eV/atom) = 2.51

Lattice parameters (Å, degrees): 10.1122 10.1122 10.1122 60.00 60.00 60.00
Last column: nearest neighbours and their distance in Å.
Fractional coordinates of all 6 atoms:
1 Lu 0.0000 0.0000 0.0000  2 Tb 3.10
2 Lu 0.5000 0.0000 0.0000  2 Tb 3.10
3 Lu 0.0000 0.0000 0.5000  2 Tb 3.10
4 Lu 0.0000 0.5000 0.0000  2 Tb 3.10
5 Tb 0.8750 0.8750 0.8750  4 Lu 3.10
6 Tb 0.1250 0.1250 0.1250  4 Lu 3.10

9.
BaNd2O4 | PBE | optimized geometry

Results
- energy relative to the lowest polymorph listed for this composition (eV per atom) = 0.004
- space-group type = Pnma (62)

Lattice parameters (Å, degrees): 10.5699 12.4556 3.6115 90.00 90.00 90.00
Last column: nearest neighbours and their distance in Å.
Fractional coordinates of all 28 atoms:
1 Ba 0.2501 0.3526 0.7500  8 O 2.76-3.00
2 Ba 0.7501 0.1474 0.7500  8 O 2.76-3.00
3 Ba 0.7499 0.6474 0.2500  8 O 2.76-3.00
4 Ba 0.2499 0.8526 0.2500  8 O 2.76-3.00
5 Nd 0.0824 0.1104 0.7500  6 O 2.35-2.45
6 Nd 0.5824 0.3896 0.7500  6 O 2.35-2.45
7 Nd 0.4253 0.1131 0.2500  6 O 2.32-2.48
8 Nd 0.4176 0.6104 0.2500  6 O 2.35-2.45
9 Nd 0.0747 0.6131 0.7500  6 O 2.32-2.48
10 Nd 0.5747 0.8869 0.7500  6 O 2.32-2.48
11 Nd 0.9253 0.3869 0.2500  6 O 2.32-2.48
12 Nd 0.9176 0.8896 0.2500  6 O 2.35-2.45
13 O 0.2130 0.1717 0.2500  3 Nd 2.36-2.40
14 O 0.2870 0.6717 0.7500  3 Nd 2.36-2.40
15 O 0.7130 0.3283 0.2500  3 Nd 2.36-2.40
16 O 0.4861 0.2185 0.7500  3 Nd 2.32-2.36
17 O 0.9861 0.2815 0.7500  3 Nd 2.32-2.36
18 O 0.9300 0.0776 0.2500  3 Nd 2.35-2.45
19 O 0.7870 0.8283 0.7500  3 Nd 2.36-2.40
20 O 0.0700 0.9224 0.7500  3 Nd 2.35-2.45
21 O 0.1246 0.4832 0.2500  3 Nd 2.42-2.48
22 O 0.8754 0.5168 0.7500  3 Nd 2.42-2.48
23 O 0.6246 0.0168 0.2500  3 Nd 2.42-2.48
24 O 0.4300 0.4224 0.2500  3 Nd 2.35-2.45
25 O 0.3754 0.9832 0.7500  3 Nd 2.42-2.48
26 O 0.5700 0.5776 0.7500  3 Nd 2.35-2.45
27 O 0.0139 0.7185 0.2500  3 Nd 2.32-2.36
28 O 0.5139 0.7815 0.2500  3 Nd 2.32-2.36

10.
FeTcP | PBE | optimized geometry

Results
- space-group type = Pnma (62)

Lattice parameters (Å, degrees): 5.7507 3.7338 6.5814 90.00 90.00 90.00
Last column: nearest neighbours and their distance in Å.
Fractional coordinates of all 12 atoms:
1 Tc 0.9719 0.7500 0.6668  3 P 2.32-2.54
2 Tc 0.4719 0.7500 0.8332  3 P 2.32-2.54
3 Tc 0.0281 0.2500 0.3332  3 P 2.32-2.54
4 Tc 0.5281 0.2500 0.1668  3 P 2.32-2.54
5 P 0.7650 0.2500 0.8815  4 Fe 2.18-2.30, 1 Tc 2.32
6 P 0.2350 0.7500 0.1185  4 Fe 2.18-2.30, 1 Tc 2.32
7 P 0.7350 0.7500 0.3815  4 Fe 2.18-2.30, 1 Tc 2.32
8 P 0.2650 0.2500 0.6185  4 Fe 2.18-2.30, 1 Tc 2.32
9 Fe 0.3599 0.7500 0.4333  4 P 2.18-2.30
10 Fe 0.8599 0.7500 0.0667  4 P 2.18-2.30
11 Fe 0.1401 0.2500 0.9333  4 P 2.18-2.30
12 Fe 0.6401 0.2500 0.5667  4 P 2.18-2.30

11.
Pr3Al3GeIr2 | PBE | optimized geometry

Results
- energy relative to the lowest polymorph listed for this composition (eV per atom) = 0.466
- space-group type = P-62m (189)

Lattice parameters (Å, degrees): 8.3132 8.3132 3.2430 90.00 90.00 120.00
Last column: nearest neighbours and their distance in Å.
Fractional coordinates of all 9 atoms:
1 Al 0.3835 0.0000 0.5000  4 Ir 3.05, 6 Pr 3.12-3.32, 1 Ge 3.19, 2 Al 3.24
2 Al 0.6165 0.6165 0.5000  4 Ir 3.05, 6 Pr 3.12-3.32, 1 Ge 3.19, 2 Al 3.24
3 Al 0.0000 0.3835 0.5000  4 Ir 3.05, 6 Pr 3.12-3.32, 1 Ge 3.19, 2 Al 3.24
4 Pr 0.7040 0.0000 0.0000  2 Ir 2.94, 2 Ge 2.95, 2 Al 3.12, 2 Pr 3.24
5 Pr 0.2960 0.2960 0.0000  2 Ir 2.94, 2 Ge 2.95, 2 Al 3.12, 2 Pr 3.24
6 Pr 0.0000 0.7040 0.0000  2 Ir 2.94, 2 Ge 2.95, 2 Al 3.12, 2 Pr 3.24
7 Ir 0.6667 0.3333 0.0000  3 Pr 2.94, 6 Al 3.05, 2 Ir 3.24
8 Ir 0.3333 0.6667 0.0000  3 Pr 2.94, 6 Al 3.05, 2 Ir 3.24
9 Ge 0.0000 0.0000 0.5000  6 Pr 2.95, 3 Al 3.19, 2 Ge 3.24

12.
ZnTcNO | PBE | optimized geometry

Results
- energy relative to the lowest polymorph listed for this composition (eV per atom) = 0.316
- space-group type = P4/nmm (129)

Lattice parameters (Å, degrees): 3.7934 3.7934 6.9263 90.00 90.00 90.00
Last column: nearest neighbours and their distance in Å.
Fractional coordinates of all 8 atoms:
1 O 0.5000 0.5000 0.0000  4 Zn 1.98
2 O 0.0000 0.0000 0.0000  4 Zn 1.98
3 Zn 0.0000 0.5000 0.9157  4 O 1.98
4 Zn 0.5000 0.0000 0.0843  4 O 1.98
5 N 0.0000 0.5000 0.3899  4 Tc 2.04
6 N 0.5000 0.0000 0.6101  4 Tc 2.04
7 Tc 0.5000 0.5000 0.5000  4 N 2.04
8 Tc 0.0000 0.0000 0.5000  4 N 2.04

Number 1: calculated total energy -10.43 eV for the cell shown, total moment 2.98 μB/f.u.. Number 2: calculated total energy -22.64 eV for the cell shown, total moment 0.92 μB/f.u.. Number 3: calculated total energy -139.03 eV for the cell shown, total moment 0.00 μB/f.u.. Number 4: calculated total energy -42.36 eV for the cell shown, total moment 0.00 μB/f.u.. Number 5: calculated total energy -13.59 eV for the cell shown, total moment 0.08 μB/f.u.. Number 6: calculated total energy -24.45 eV for the cell shown, total moment 0.01 μB/f.u.. Number 7: calculated total energy -216.44 eV for the cell shown, total moment 0.00 μB/f.u.. Number 8: calculated total energy -12.30 eV for the cell shown, total moment 5.00 μB/f.u.. Number 9: calculated total energy -212.18 eV for the cell shown, total moment 0.00 μB/f.u.. Number 10: calculated total energy -103.34 eV for the cell shown, total moment 0.00 μB/f.u.. Number 11: calculated total energy -49.15 eV for the cell shown, total moment 0.00 μB/f.u.. Number 12: calculated total energy -51.34 eV for the cell shown, total moment 0.58 μB/f.u..